Entry 1:
Material: Dy3Ho2ErAs6
Method: DFT, PBE
State: relaxed

Results
Space-group type   No. 12
Energy relative to the elements   -18.4 eV per formula unit
Total moment   0.00 μB/atom

```
Dy3Ho2ErAs6
1.0
-0.226 -3.649 1.871
3.727 3.155 6.600
-8.563 3.224 0.747
As Dy Ho Er
6 3 2 1
direct
0.000 0.249 0.000
0.333 0.417 0.666
0.667 0.583 0.334
0.334 0.916 0.668
0.000 0.751 0.000
0.666 0.084 0.332
0.500 0.500 0.000
0.167 0.833 0.334
0.833 0.167 0.666
0.833 0.667 0.667
0.167 0.333 0.333
0.500 0.000 0.000
```

=====

Entry 2:
Material: BePtW
Method: DFT, PBE
State: relaxed

Results
Space-group type   No. 4
Energy relative to the elements   -0.7 eV per formula unit
Relative energy among the computed polymorphs   106 meV per atom
Total moment   0.00 μB/atom

```
BePtW
1.0
-2.510 -0.557 1.797
2.033 -3.027 1.896
-1.159 6.845 3.253
W Be Pt
2 2 2
direct
0.653 0.203 0.033
0.173 0.663 0.993
0.841 0.328 0.656
0.985 0.541 0.369
0.491 0.027 0.356
0.335 0.841 0.670
```

=====

Entry 3:
Material: AlHSe2
Method: DFT, PBE
State: relaxed

Results
Space-group type   No. 46
Relative energy among the computed polymorphs   3 meV per atom
Total moment   0.00 μB/atom

```
AlHSe2
1.0
-1.258 -5.068 4.693
5.259 1.841 0.092
-2.006 5.657 1.491
Se Al H
4 2 2
direct
0.977 0.491 0.227
0.977 0.991 0.727
0.438 0.704 0.958
0.438 0.239 0.458
0.180 0.343 0.079
0.180 0.343 0.579
0.262 0.828 0.870
0.262 0.939 0.370
```

=====

Entry 4:
Material: CeBi4Pd15
Method: DFT, PBE
State: relaxed

Results
Space-group type   No. 123
Energy relative to the elements   -6.9 eV per formula unit
Total moment   0.02 μB/atom

```
CeBi4Pd15
1.0
-3.759 0.617 -1.655
1.640 -0.227 -3.809
-3.259 -20.356 -0.190
Pd Bi Ce
15 4 1
direct
0.500 0.000 0.902
0.500 0.000 0.700
0.500 0.000 0.500
0.000 0.500 0.300
0.000 0.500 0.700
0.500 0.500 0.201
0.000 0.500 0.098
0.000 0.500 0.500
0.500 0.000 0.098
0.500 0.500 0.600
0.500 0.500 0.400
0.500 0.000 0.300
0.500 0.500 0.799
0.500 0.500 0.000
0.000 0.500 0.902
0.000 0.000 0.201
0.000 0.000 0.799
0.000 0.000 0.600
0.000 0.000 0.400
0.000 0.000 0.000
```

=====

Entry 5:
Material: K3Tl9Sb2
Method: DFT, PBE
State: relaxed

Results
Total energy   -2.447 eV per atom
Space-group type   No. 71
Total moment   0.00 μB/atom

```
K3Tl9Sb2
1.0
5.395 0.000 0.000
2.698 9.618 -0.114
2.698 2.069 9.393
Tl K Sb
9 3 2
direct
0.337 0.032 0.294
0.868 0.857 0.408
0.868 0.408 0.857
0.663 0.706 0.968
0.663 0.968 0.706
0.132 0.143 0.592
0.000 0.500 0.500
0.132 0.592 0.143
0.337 0.294 0.032
0.313 0.687 0.687
0.687 0.313 0.313
0.000 0.000 0.000
0.500 0.298 0.702
0.500 0.702 0.298
```

=====

Entry 6:
Material: HfNb3Pt
Method: DFT, PBE
State: relaxed

Results
Space-group type   No. 221
Energy relative to the elements   4.7 eV per formula unit
Relative energy among the computed polymorphs   0 meV per atom
Total moment   0.00 μB/atom

```
HfNb3Pt
1.0
-2.069 -4.412 0.463
0.620 -0.794 -4.790
4.393 -1.966 0.894
Pt Nb Hf
1 3 1
direct
0.000 0.000 0.000
0.500 0.000 0.000
0.000 0.000 0.500
0.000 0.500 0.000
0.500 0.500 0.500
```

=====

Entry 7:
Material: Er4AsAuSe2
Method: DFT, PBE
State: relaxed

Results
Total energy   -5.574 eV per atom
Space-group type   No. 10
Total moment   0.00 μB/atom

```
Er4AsAuSe2
1.0
-1.721 2.798 2.314
3.968 -2.154 5.556
6.048 3.701 0.024
Se Au Er As
2 1 4 1
direct
0.000 0.000 0.000
0.500 0.000 0.500
0.500 0.500 0.000
0.000 0.254 0.250
0.500 0.257 0.744
0.500 0.743 0.256
0.000 0.746 0.750
0.000 0.500 0.500
```

=====

Entry 8:
Material: Pm3Ge2Ru3C
Method: DFT, PBE
State: relaxed

Results
Space-group type   No. 189
Energy relative to the elements   -2.2 eV per formula unit
Total moment   0.00 μB/atom

```
Pm3Ge2Ru3C
1.0
3.645 0.000 0.000
0.000 7.266 0.000
0.000 -3.633 6.293
Ru Pm Ge C
3 3 2 1
direct
0.500 0.000 0.785
0.500 0.785 0.000
0.500 0.215 0.215
0.000 0.000 0.373
0.000 0.373 0.000
0.000 0.627 0.627
0.500 0.667 0.333
0.500 0.333 0.667
0.000 0.000 0.000
```

=====

Entry 9:
Material: ReAu
Method: DFT, PBE
State: relaxed

Results
Space-group type   No. 74
Energy relative to the elements   1.0 eV per formula unit
Relative energy among the computed polymorphs   381 meV per atom
Total moment   0.00 μB/atom

```
ReAu
1.0
-0.256 -2.300 -4.364
2.098 -4.457 0.359
-3.538 2.367 2.505
Re Au
2 2
direct
0.732 0.232 0.500
0.518 0.518 0.000
0.996 0.996 0.000
0.254 0.754 0.500
```

=====

Entry 10:
Material: TbY4Ag
Method: DFT, PBE
State: relaxed

Results
Space-group type   No. 36
Energy relative to the elements   0.3 eV per formula unit
Relative energy among the computed polymorphs   127 meV per atom
Total moment   0.00 μB/atom

```
TbY4Ag
1.0
5.463 0.000 0.000
0.000 6.462 0.000
-2.731 0.000 10.433
Tb Y Ag
2 8 2
direct
0.865 0.713 0.730
0.135 0.213 0.270
0.934 0.213 0.868
0.066 0.713 0.132
0.743 0.088 0.487
0.677 0.575 0.354
0.257 0.588 0.513
0.323 0.075 0.646
0.465 0.876 0.929
0.535 0.376 0.071
0.603 0.968 0.205
0.397 0.468 0.795
```

=====

Entry 11:
Material: K2TaS2
Method: DFT, PBE
State: relaxed

Results
Space-group type   No. 127
Relative energy among the computed polymorphs   0 meV per atom
Total moment   0.25 μB/atom

```
K2TaS2
1.0
-3.739 -3.958 4.126
5.676 -3.162 2.110
0.541 3.607 3.949
K S Ta
4 4 2
direct
0.156 0.656 0.500
0.344 0.156 0.500
0.656 0.844 0.500
0.844 0.344 0.500
0.812 0.688 0.000
0.688 0.188 0.000
0.312 0.812 0.000
0.188 0.312 0.000
0.500 0.500 0.000
0.000 0.000 0.000
```

=====

Entry 12:
Material: Sr3Hg2Au2
Method: DFT, PBE
State: relaxed

Results
Space-group type   No. 12
Energy relative to the elements   -4.4 eV per formula unit
Total moment   0.00 μB/atom

```
Sr3Hg2Au2
1.0
-0.326 0.708 4.369
-5.642 -2.071 -2.339
5.228 -6.819 1.495
Au Sr Hg
2 3 2
direct
0.177 0.353 0.930
0.823 0.647 0.070
0.679 0.359 0.663
0.321 0.641 0.337
0.500 0.000 0.000
0.047 0.095 0.345
0.953 0.905 0.655
```

=====

Entry 13:
Material: Cd2NiCl
Method: DFT, PBE
State: relaxed

Results
Space-group type   No. 47
Relative energy among the computed polymorphs   0 meV per atom
Total moment   0.00 μB/atom

```
Cd2NiCl
1.0
-2.801 1.444 0.110
-1.336 -2.677 1.125
1.485 2.326 7.308
Cd Cl Ni
2 1 1
direct
0.000 0.251 0.543
0.000 0.249 0.957
0.500 0.250 0.250
0.500 0.750 0.750
```

=====

Entry 14:
Material: Pr6Ge2S3I
Method: DFT, PBE
State: relaxed

Results
Total energy   -5.792 eV per atom
Space-group type   No. 12
Total moment   0.00 μB/atom

```
Pr6Ge2S3I
1.0
4.242 0.000 0.000
0.000 8.616 0.413
-2.121 -2.375 8.947
S Pr I Ge
3 6 1 2
direct
0.162 0.836 0.323
0.500 0.500 0.000
0.838 0.164 0.677
0.997 0.714 0.994
0.321 0.903 0.641
0.003 0.286 0.006
0.333 0.416 0.667
0.679 0.097 0.359
0.667 0.584 0.333
0.500 0.000 0.000
0.834 0.668 0.667
0.166 0.332 0.333
```

=====

Entry 15:
Material: ZrCd2Os
Method: DFT, PBE
State: relaxed

Results
Space-group type   No. 123
Energy relative to the elements   0.4 eV per formula unit
Relative energy among the computed polymorphs   112 meV per atom
Total moment   0.00 μB/atom

```
ZrCd2Os
1.0
3.999 0.000 0.000
0.000 3.999 0.000
0.000 0.000 4.759
Os Cd Zr
1 2 1
direct
0.500 0.000 0.500
0.500 0.500 0.000
0.000 0.000 0.000
0.000 0.500 0.500
```

=====

Entry 16:
Material: ScGaFe
Method: DFT, PBE
State: relaxed

Results
Space-group type   No. 187
Energy relative to the elements   -0.8 eV per formula unit
Total moment   0.72 μB/atom

```
ScGaFe
1.0
-1.660 1.987 1.640
-3.627 -1.690 -1.624
1.685 -1.598 3.640
Sc Ga Fe
1 1 1
direct
0.667 0.667 0.333
0.167 0.000 0.000
0.167 0.333 0.667
```

=====

Entry 17:
Material: MnGaMoP
Method: DFT, PBE
State: relaxed

Results
Space-group type   No. 1
Energy relative to the elements   -0.5 eV per formula unit
Relative energy among the computed polymorphs   144 meV per atom
Total moment   0.00 μB/atom

```
MnGaMoP
1.0
-0.532 1.993 -2.383
-3.869 -1.033 -2.067
-3.983 1.790 1.986
P Mn Mo Ga
1 1 1 1
direct
0.137 0.798 0.755
0.637 0.846 0.407
0.431 0.186 0.851
0.838 0.381 0.249
```

=====

Entry 18:
Material: AsSCl2O
Method: DFT, PBE
State: relaxed

Results
Space-group type   No. 123
Relative energy among the computed polymorphs   0 meV per atom
Total moment   0.52 μB/atom

```
AsSCl2O
1.0
4.993 0.000 0.000
0.000 4.993 0.000
0.000 0.000 4.769
As O Cl S
1 1 2 1
direct
0.000 0.000 0.000
0.500 0.500 0.500
0.500 0.000 0.000
0.000 0.500 0.000
0.000 0.000 0.500
```

=====

Entry 19:
Material: Pm6B2SI3
Method: DFT, PBE
State: relaxed

Results
Total energy   -5.170 eV per atom
Space-group type   No. 12
Total moment   0.00 μB/atom

```
Pm6B2SI3
1.0
7.031 -0.001 0.000
-3.515 6.090 0.000
-1.173 -2.030 7.699
S Pm I B
1 6 3 2
direct
0.000 0.000 0.000
0.588 0.939 0.817
0.412 0.061 0.183
0.710 0.710 0.182
0.061 0.412 0.183
0.290 0.290 0.818
0.939 0.588 0.817
0.500 0.500 0.500
0.165 0.835 0.500
0.835 0.165 0.500
0.333 0.667 0.000
0.667 0.333 0.000
```

=====

Entry 20:
Material: K2Te2Au
Method: DFT, PBE
State: relaxed

Results
Total energy   -3.024 eV per atom
Space-group type   No. 55
Total moment   0.00 μB/atom

```
K2Te2Au
1.0
4.120 0.000 0.000
0.000 7.999 0.000
0.000 0.000 10.887
Te K Au
4 4 2
direct
0.500 0.218 0.068
0.500 0.782 0.932
0.500 0.282 0.568
0.500 0.718 0.432
0.000 0.403 0.828
0.000 0.097 0.328
0.000 0.903 0.672
0.000 0.597 0.172
0.000 0.500 0.500
0.000 0.000 0.000
```

=====

Entry 21:
Material: LaV2SiBr
Method: DFT, PBE
State: relaxed

Results
Total energy   -5.338 eV per atom
Space-group type   No. 123
Total moment   0.80 μB/atom

```
LaV2SiBr
1.0
4.634 0.000 0.000
0.000 5.324 0.000
0.000 0.000 4.634
Br Si V La
1 1 2 1
direct
0.000 0.000 0.000
0.000 0.500 0.000
0.500 0.000 0.000
0.000 0.000 0.500
0.500 0.500 0.500
```

=====

Entry 22:
Material: Er2InHg8
Method: DFT, PBE
State: relaxed

Results
Space-group type   No. 123
Energy relative to the elements   -2.3 eV per formula unit
Total moment   0.00 μB/atom

```
Er2InHg8
1.0
-2.784 3.691 -0.499
-3.722 -2.780 0.197
-0.389 1.415 12.632
Hg In Er
8 1 2
direct
0.500 0.000 0.852
0.000 0.500 0.852
0.000 0.500 0.148
0.500 0.000 0.500
0.000 0.500 0.500
0.500 0.500 0.677
0.500 0.500 0.323
0.500 0.000 0.148
0.000 0.000 0.000
0.000 0.000 0.681
0.000 0.000 0.319
```

=====

Entry 23:
Material: NbBRh2
Method: DFT, PBE
State: relaxed

Results
Space-group type   No. 122
Energy relative to the elements   0.7 eV per formula unit
Total moment   0.00 μB/atom

```
NbBRh2
1.0
5.506 0.000 0.000
0.000 5.506 0.000
2.753 2.753 4.401
B Nb Rh
2 2 4
direct
0.250 0.750 0.500
0.500 0.500 0.000
0.750 0.250 0.500
0.000 0.000 0.000
0.546 0.125 0.250
0.875 0.796 0.750
0.204 0.625 0.250
0.375 0.454 0.750
```

=====

Entry 24:
Material: CuSi2
Method: DFT, PBE
State: relaxed

Results
Total energy   -4.645 eV per atom
Space-group type   No. 129
Total moment   0.00 μB/atom

```
CuSi2
1.0
4.431 0.000 0.000
0.000 4.431 0.000
0.000 0.000 4.846
Si Cu
4 2
direct
0.000 0.500 0.744
0.500 0.000 0.256
0.000 0.000 0.000
0.500 0.500 0.000
0.500 0.000 0.733
0.000 0.500 0.267
```